No. 1
A plane-wave DFT calculation with PBE was carried out for a relaxed structure of SmCd5Au.

Cell lengths 4.849, 4.849, 7.227 Å; angles 90.00, 90.00, 90.00 degrees
Element x y z (fractional)
Sm  0.000  0.000  0.000
Cd  0.000  0.500  0.289
Cd  0.000  0.500  0.711
Cd  0.500  0.000  0.289
Cd  0.500  0.000  0.711
Cd  0.500  0.500  0.000
Au  0.000  0.000  0.500

Results
SG: P4/mmm
Calculated formation energy, eV/atom: -0.266

=====

No. 2
A plane-wave DFT calculation with PBE was carried out for a relaxed structure of K2SmYO4.

Cell lengths 6.130, 3.540, 6.603 Å; angles 90.00, 108.00, 90.00 degrees
Element x y z (fractional)
K  0.000  0.000  0.000
K  0.500  0.500  0.000
Sm  0.000  0.500  0.500
Y  0.500  0.000  0.500
O  0.235  0.000  0.688
O  0.276  0.500  0.313
O  0.724  0.500  0.687
O  0.765  0.000  0.312

Results
SG: P2/m
ΔE_f (raw), eV per atom: -2.70

=====

No. 3
A plane-wave DFT calculation with PBE was carried out for a relaxed structure of BaLa2Cd.

Cell lengths 7.289, 7.289, 6.011 Å; angles 114.30, 114.30, 31.65 degrees
Element x y z (fractional)
Ba  0.000  0.000  0.000
La  0.215  0.215  0.715
La  0.785  0.785  0.285
Cd  0.500  0.500  0.500

Results
SG: C2/m
ΔE to the lowest computed polymorph, meV/atom: 19
Calculated formation energy, eV/atom: -0.087

=====

No. 4
A plane-wave DFT calculation with PBE was carried out for a relaxed structure of ScPt2Se.

Cell lengths 5.977, 5.977, 5.977 Å; angles 39.18, 39.18, 39.18 degrees
Element x y z (fractional)
Sc  0.000  0.000  0.000
Pt  0.502  0.502  0.502
Pt  0.751  0.751  0.751
Se  0.237  0.237  0.237

Results
SG: R3m
ΔE_f (raw), eV per atom: -0.55

=====

No. 5
A plane-wave DFT calculation with PBE was carried out for a relaxed structure of Tm2Zn12Au7.

Cell lengths 10.490, 10.490, 4.040 Å; angles 90.00, 90.00, 120.00 degrees
Element x y z (fractional)
Tm  0.333  0.667  0.249
Tm  0.667  0.333  0.751
Zn  0.036  0.430  0.750
Zn  0.107  0.265  0.243
Zn  0.158  0.893  0.243
Zn  0.265  0.158  0.757
Zn  0.394  0.964  0.750
Zn  0.430  0.394  0.250
Zn  0.570  0.606  0.750
Zn  0.606  0.036  0.250
Zn  0.735  0.842  0.243
Zn  0.842  0.107  0.757
Zn  0.893  0.735  0.757
Zn  0.964  0.570  0.250
Au  0.000  0.000  0.500
Au  0.145  0.718  0.750
Au  0.282  0.427  0.750
Au  0.427  0.145  0.250
Au  0.573  0.855  0.750
Au  0.718  0.573  0.250
Au  0.855  0.282  0.250

Results
SG: P-3
Calculated formation energy, eV/atom: -0.318

=====

No. 6
A plane-wave DFT calculation with PBE was carried out for a relaxed structure of Y3GaAs2Rh9.

Cell lengths 6.241, 6.241, 9.001 Å; angles 90.00, 90.00, 120.00 degrees
Element x y z (fractional)
Y  0.000  0.000  0.000
Y  0.333  0.667  0.725
Y  0.667  0.333  0.275
Ga  0.000  0.000  0.500
As  0.333  0.667  0.175
As  0.667  0.333  0.825
Rh  0.000  0.500  0.000
Rh  0.141  0.282  0.277
Rh  0.141  0.859  0.277
Rh  0.282  0.141  0.723
Rh  0.500  0.000  0.000
Rh  0.500  0.500  0.000
Rh  0.718  0.859  0.277
Rh  0.859  0.141  0.723
Rh  0.859  0.718  0.723

Results
SG: P-3m1
Calculated formation energy, eV/atom: -0.427